(1)
VASP calculation (PBE-GGA) on a relaxed PmHoN2 crystal.

Computed properties:
formation energy without anion corrections: -1.321 eV/atom
energy relative to the lowest polymorph listed for this composition: 253 meV per atom
electronic total energy: -7.815 eV/atom
spin magnetization: 0.000 μB/cell

```
data_PmHoN2
_cell_length_a 3.4731
_cell_length_b 3.4731
_cell_length_c 18.0873
_cell_angle_alpha 90.00
_cell_angle_beta 90.00
_cell_angle_gamma 120.00
_symmetry_space_group_name_H-M 'R 3 m'
_symmetry_Int_Tables_number 160
_symmetry_space_group_name_Hall 'R 3 -2"'
loop_
_atom_site_label
_atom_site_fract_x
_atom_site_fract_y
_atom_site_fract_z
_atom_site_occupancy
Pm1 0.0000 0.0000 0.0000 1
Ho1 0.0000 0.0000 0.8295 1
N1 0.0000 0.0000 0.4107 1
N2 0.0000 0.0000 0.5736 1
```

(2)
VASP calculation (PBE-GGA) on a relaxed EuCdCu2 crystal.

Computed properties:
D(E_F): 10.50 states/eV/f.u.
electronic total energy: -4.963 eV/atom
spin magnetization: 21.456 μB/cell
DFT formation energy: -117.2 meV/atom

```
data_EuCdCu2
_cell_length_a 4.5390
_cell_length_b 4.5390
_cell_length_c 14.5896
_cell_angle_alpha 90.00
_cell_angle_beta 90.00
_cell_angle_gamma 120.00
_symmetry_space_group_name_H-M 'R -3 m'
_symmetry_Int_Tables_number 166
_symmetry_space_group_name_Hall '-R 3 2"'
loop_
_atom_site_label
_atom_site_fract_x
_atom_site_fract_y
_atom_site_fract_z
_atom_site_occupancy
Eu1 0.0000 0.0000 0.0000 1
Cd1 0.0000 0.0000 0.5000 1
Cu1 0.0000 0.0000 0.2015 1
```

(3)
VASP calculation (PBE-GGA) on a relaxed Tm4MgIr crystal.

Computed properties:
energy relative to the lowest polymorph listed for this composition: 403 meV per atom
D(E_F): 6.84 states/eV/f.u.
electronic total energy: -4.768 eV/atom
spin magnetization: 0.000 μB/cell
DFT formation energy: -44.2 meV/atom

```
data_Tm4MgIr
_cell_length_a 10.1433
_cell_length_b 10.1433
_cell_length_c 7.4086
_cell_angle_alpha 90.00
_cell_angle_beta 90.00
_cell_angle_gamma 90.00
_symmetry_space_group_name_H-M 'I 41 m d'
_symmetry_Int_Tables_number 109
_symmetry_space_group_name_Hall 'I 4bw -2'
loop_
_atom_site_label
_atom_site_fract_x
_atom_site_fract_y
_atom_site_fract_z
_atom_site_occupancy
Tm1 0.0000 0.1818 0.0000 1
Tm2 0.0000 0.2449 0.4628 1
Mg1 0.0000 0.0000 0.6677 1
Ir1 0.0000 0.0000 0.2794 1
```

(4)
VASP calculation (PBE-GGA) on a relaxed AcTb2SbO8 crystal.

Computed properties:
formation energy without anion corrections: -2.457 eV/atom
D(E_F): 3.53 states/eV/f.u.
electronic total energy: -7.220 eV/atom
spin magnetization: 2.006 μB/cell

```
data_AcTb2SbO8
_cell_length_a 4.3878
_cell_length_b 5.3720
_cell_length_c 7.4272
_cell_angle_alpha 93.78
_cell_angle_beta 91.01
_cell_angle_gamma 91.60
_symmetry_space_group_name_H-M 'P -1'
_symmetry_Int_Tables_number 2
_symmetry_space_group_name_Hall '-P 1'
loop_
_atom_site_label
_atom_site_fract_x
_atom_site_fract_y
_atom_site_fract_z
_atom_site_occupancy
Ac1 0.0000 0.0000 0.0000 1
Tb1 0.4625 0.4666 0.7386 1
Sb1 0.0000 0.0000 0.5000 1
O1 0.0704 0.7412 0.2908 1
O2 0.1619 0.7969 0.6934 1
O3 0.3629 0.2320 0.4637 1
O4 0.4600 0.2698 0.0022 1
```

(5)
VASP calculation (PBE-GGA) on a relaxed KZrAl2 crystal.

Computed properties:
energy relative to the lowest polymorph listed for this composition: 0 meV per atom
D(E_F): 2.05 states/eV/f.u.
electronic total energy: -4.287 eV/atom
spin magnetization: 0.000 μB/cell
DFT formation energy: -4.1 meV/atom

```
data_KZrAl2
_cell_length_a 3.1340
_cell_length_b 4.2258
_cell_length_c 7.7762
_cell_angle_alpha 90.00
_cell_angle_beta 90.00
_cell_angle_gamma 90.00
_symmetry_space_group_name_H-M 'P m m m'
_symmetry_Int_Tables_number 47
_symmetry_space_group_name_Hall '-P 2 2'
loop_
_atom_site_label
_atom_site_fract_x
_atom_site_fract_y
_atom_site_fract_z
_atom_site_occupancy
K1 0.0000 0.0000 0.0000 1
Zr1 0.0000 0.0000 0.5000 1
Al1 0.5000 0.5000 0.3280 1
```

(6)
VASP calculation (PBE-GGA) on a relaxed KMnIr3 crystal.

Computed properties:
energy relative to the lowest polymorph listed for this composition: 0 meV per atom
D(E_F): 4.90 states/eV/f.u.
electronic total energy: -6.194 eV/atom
spin magnetization: 0.000 μB/cell
DFT formation energy: 1175.6 meV/atom

```
data_KMnIr3
_cell_length_a 4.5911
_cell_length_b 4.5911
_cell_length_c 4.5911
_cell_angle_alpha 90.00
_cell_angle_beta 90.00
_cell_angle_gamma 90.00
_symmetry_space_group_name_H-M 'P m -3 m'
_symmetry_Int_Tables_number 221
_symmetry_space_group_name_Hall '-P 4 2 3'
loop_
_atom_site_label
_atom_site_fract_x
_atom_site_fract_y
_atom_site_fract_z
_atom_site_occupancy
K1 0.0000 0.0000 0.0000 1
Mn1 0.5000 0.5000 0.5000 1
Ir1 0.0000 0.5000 0.5000 1
```

(7)
VASP calculation (PBE-GGA) on a relaxed BaCrTe2 crystal.

Computed properties:
formation energy without anion corrections: 0.121 eV/atom
D(E_F): 1.51 states/eV/f.u.
electronic total energy: -4.336 eV/atom
spin magnetization: 0.000 μB/cell

```
data_BaCrTe2
_cell_length_a 7.6054
_cell_length_b 7.6054
_cell_length_c 7.6054
_cell_angle_alpha 90.00
_cell_angle_beta 90.00
_cell_angle_gamma 90.00
_symmetry_space_group_name_H-M 'F m -3 m'
_symmetry_Int_Tables_number 225
_symmetry_space_group_name_Hall '-F 4 2 3'
loop_
_atom_site_label
_atom_site_fract_x
_atom_site_fract_y
_atom_site_fract_z
_atom_site_occupancy
Ba1 0.0000 0.0000 0.0000 1
Cr1 0.0000 0.0000 0.5000 1
Te1 0.2500 0.2500 0.2500 1
```

(8)
VASP calculation (PBE-GGA) on a relaxed Pm2Sn3Pd2 crystal.

Computed properties:
energy relative to the lowest polymorph listed for this composition: 0 meV per atom
D(E_F): 3.59 states/eV/f.u.
electronic total energy: -5.342 eV/atom
spin magnetization: 0.000 μB/cell
DFT formation energy: -785.8 meV/atom

```
data_Pm2Sn3Pd2
_cell_length_a 4.5478
_cell_length_b 19.8925
_cell_length_c 7.4350
_cell_angle_alpha 90.00
_cell_angle_beta 90.00
_cell_angle_gamma 90.00
_symmetry_space_group_name_H-M 'C m c m'
_symmetry_Int_Tables_number 63
_symmetry_space_group_name_Hall '-C 2c 2'
loop_
_atom_site_label
_atom_site_fract_x
_atom_site_fract_y
_atom_site_fract_z
_atom_site_occupancy
Pm1 0.0000 0.0439 0.2500 1
Pm2 0.0000 0.1617 0.7500 1
Sn1 0.0000 0.2158 0.2500 1
Sn2 0.0000 0.4304 0.0540 1
Pd1 0.0000 0.2986 0.5467 1
```